Record 1
{
  "formula": "CeCuSO",
  "functional": "PBE",
  "state": "optimized geometry",
  "cell": [[3.8992, 0.0000, 0.0000], [0.0000, 3.8992, 0.0000], [0.0000, 0.0000, 8.4916]],
  "species": ["Ce", "Ce", "Cu", "Cu", "S", "S", "O", "O"],
  "frac_coords": [[0.5000, 0.0000, 0.8501], [0.0000, 0.5000, 0.1499], [0.5000, 0.5000, 0.5000], [0.0000, 0.0000, 0.5000], [0.5000, 0.0000, 0.3327], [0.0000, 0.5000, 0.6673], [0.5000, 0.5000, 0.0000], [0.0000, 0.0000, 0.0000]],
  "e_form_raw_ev_per_atom": -1.9479
}

***

Record 2
{
  "formula": "Ce2CuSe2O2",
  "functional": "PBE",
  "state": "optimized geometry",
  "cell": [[4.0245, 0.0000, 0.0000], [-2.0123, 3.4854, 0.0000], [0.0000, 0.0000, 11.1088]],
  "species": ["Ce", "Ce", "Cu", "Se", "Se", "O", "O"],
  "frac_coords": [[0.6667, 0.3333, 0.3656], [0.3333, 0.6667, 0.6344], [0.0000, 0.0000, 0.0000], [0.0000, 0.0000, 0.7975], [0.0000, 0.0000, 0.2025], [0.6667, 0.3333, 0.5745], [0.3333, 0.6667, 0.4255]],
  "e_form_raw_ev_per_atom": -2.1135
}

***

Record 3
{
  "formula": "Ce2CuTe2O",
  "functional": "PBE",
  "state": "optimized geometry",
  "cell": [[3.4497, 0.0000, 0.0000], [0.0000, 3.4497, 0.0000], [0.0000, 0.0000, 15.3265]],
  "species": ["Ce", "Ce", "Cu", "Te", "Te", "O"],
  "frac_coords": [[0.5000, 0.5000, 0.6349], [0.5000, 0.5000, 0.3651], [0.5000, 0.5000, 0.0000], [0.5000, 0.5000, 0.1590], [0.5000, 0.5000, 0.8410], [0.5000, 0.5000, 0.5000]],
  "e_form_raw_ev_per_atom": -0.4987
}

***

Quick rundown of calculated volume, same order as above: 16.138 22.260 30.398 A^3/atom